Record 1
First-principles (PBE-GGA) data for a geometry-optimized Na2VPdI structure, as listed in Alexandria.

Cell lengths 5.5455, 5.5455, 4.8817 Å; angles 90.00, 90.00, 90.00 degrees
Space group P4/mmm (No. 123)
Symmetry-distinct sites (fractional):
Na1 0.0000 0.5000 0.0000
V1 0.0000 0.0000 0.5000
Pd1 0.0000 0.0000 0.0000
I1 0.5000 0.5000 0.5000

Output
- Calculated total energy: -3.49 eV per atom


Record 2
First-principles (PBE-GGA) data for a geometry-optimized Ca3Ta structure, as listed in Alexandria.

Cell lengths 3.3666, 4.8844, 7.5036 Å; angles 90.00, 90.00, 90.00 degrees
Space group Pmmm (No. 47)
Symmetry-distinct sites (fractional):
Ca1 0.0000 0.0000 0.0000
Ca2 0.5000 0.5000 0.2845
Ta1 0.0000 0.0000 0.5000

Output
- Calculated formation energy: 0.68 eV per atom


Record 3
First-principles (PBE-GGA) data for a geometry-optimized Ac3Tl2N structure, as listed in Alexandria.

Cell lengths 5.3238, 17.2911, 3.9768 Å; angles 90.00, 90.00, 90.00 degrees
Space group Cmmm (No. 65)
Symmetry-distinct sites (fractional):
Ac1 0.0000 0.0000 0.0000
Ac2 0.0000 0.3894 0.5000
Tl1 0.0000 0.1973 0.0000
N1 0.0000 0.5000 0.0000

Output
- Calculated total energy: -4.80 eV per atom